No. 1
DFT (PBE-GGA) results for PrI2O6 after structural relaxation.

Results
energy relative to the elements, uncorrected: -1005.7 meV per atom
DOS(E_F): 12.7 states/eV per cell
E_tot: -5.187 eV/atom
energy above the most stable polymorph in this dataset: 0 meV/atom
crystal system: monoclinic

Cell lengths 9.741, 11.401, 7.948 Å; angles 90.00, 127.64, 90.00 degrees
Space group C2/c (No. 15)
Asymmetric unit:
1 Pr 0.000 0.163 0.250
2 I 0.203 0.156 0.815
3 O 0.034 0.173 0.949
4 O 0.183 0.005 0.298
5 O 0.213 0.323 0.342



No. 2
DFT (PBE-GGA) results for Pr2IO5 after structural relaxation.

Results
energy relative to the elements, uncorrected: -1710.5 meV per atom
DOS(E_F): 11.2 states/eV per cell
E_tot: -6.198 eV/atom
crystal system: orthorhombic

Cell lengths 8.182, 8.228, 7.005 Å; angles 90.00, 90.00, 90.00 degrees
Space group Fmm2 (No. 42)
Asymmetric unit:
1 Pr 0.250 0.250 0.000
2 I 0.000 0.000 0.227
3 O 0.000 0.000 0.495
4 O 0.000 0.246 0.256
5 O 0.246 0.000 0.253



No. 3
DFT (PBE-GGA) results for PrI2O6 after structural relaxation.

Results
energy relative to the elements, uncorrected: -995.0 meV per atom
DOS(E_F): 15.9 states/eV per cell
E_tot: -5.176 eV/atom
energy above the most stable polymorph in this dataset: 11 meV/atom
crystal system: monoclinic

Cell lengths 9.748, 12.298, 6.310 Å; angles 90.00, 106.65, 90.00 degrees
Space group C2/c (No. 15)
Asymmetric unit:
1 Pr 0.000 0.093 0.250
2 I 0.175 0.381 0.209
3 O 0.111 0.396 0.453
4 O 0.135 0.049 0.627
5 O 0.147 0.230 0.169



No. 4
DFT (PBE-GGA) results for PrIO5 after structural relaxation.

Results
energy relative to the elements, uncorrected: -1388.3 meV per atom
E_tot: -5.834 eV/atom
crystal system: monoclinic

Cell lengths 9.178, 6.639, 7.823 Å; angles 90.00, 115.22, 90.00 degrees
Space group C2/c (No. 15)
Asymmetric unit:
1 Pr 0.000 0.040 0.250
2 I 0.000 0.500 0.000
3 O 0.000 0.420 0.250
4 O 0.008 0.218 0.972
5 O 0.220 0.489 0.612



No. 5
DFT (PBE-GGA) results for PrIO after structural relaxation.

Results
energy relative to the elements, uncorrected: -2657.8 meV per atom
DOS(E_F): 0.0 states/eV per cell
E_tot: -6.420 eV/atom
crystal system: tetragonal

Cell lengths 4.124, 4.124, 10.106 Å; angles 90.00, 90.00, 90.00 degrees
Space group P4/nmm (No. 129, origin choice 2)
Asymmetric unit:
1 Pr 0.250 0.250 0.117
2 I 0.250 0.250 0.693
3 O 0.250 0.750 0.000



No. 6
DFT (PBE-GGA) results for Pr2I2O after structural relaxation.

Results
energy relative to the elements, uncorrected: -860.2 meV per atom
DOS(E_F): 3.5 states/eV per cell
E_tot: -4.384 eV/atom
crystal system: tetragonal

Cell lengths 4.400, 4.400, 14.900 Å; angles 90.00, 90.00, 90.00 degrees
Space group P4/mmm (No. 123)
Asymmetric unit:
1 Pr 0.000 0.000 0.145
2 I 0.000 0.000 0.343
3 O 0.000 0.000 0.000



No. 7
DFT (PBE-GGA) results for PrIO after structural relaxation.

Results
energy relative to the elements, uncorrected: -2412.9 meV per atom
DOS(E_F): 0.0 states/eV per cell
E_tot: -6.175 eV/atom
crystal system: hexagonal

Cell lengths 4.0261, 4.0261, 5.3383 Å; angles 90.00, 90.00, 120.00 degrees
Space group P-6m2 (No. 187)
Asymmetric unit:
1 Pr 0.0000 0.0000 0.0000
2 I 0.6667 0.3333 0.5000
3 O 0.3333 0.6667 0.0000



No. 8
DFT (PBE-GGA) results for PrI3O9 after structural relaxation.

Results
energy relative to the elements, uncorrected: -590.2 meV per atom
DOS(E_F): 3.8 states/eV per cell
E_tot: -4.748 eV/atom
energy above the most stable polymorph in this dataset: 393 meV/atom
crystal system: orthorhombic

Cell lengths 7.026, 8.665, 6.960 Å; angles 90.00, 90.00, 90.00 degrees
Space group Pmmn (No. 59, origin choice 2)
Asymmetric unit:
1 Pr 0.250 0.250 0.011
2 I 0.030 0.750 0.529
3 I 0.250 0.750 0.975
4 O 0.050 0.250 0.720
5 O 0.059 0.607 0.875
6 O 0.250 0.250 0.364
7 O 0.250 0.599 0.466